(1)
VASP calculation (GGA-PBE) on an optimized crystal structure of K2HgS.

Results
Final energy, eV/atom: -2.19
Raw formation energy, eV/f.u.: -2.131
Symmetry: I-42d (122)
Energy above the most stable polymorph in this dataset, meV per atom: 188.6

Unit cell a=9.7760 b=9.7760 c=9.7760 alpha=135.57 beta=135.57 gamma=64.65
Atoms (fractional coordinates):
K 0.0161 0.6250 0.8911
K 0.3750 0.2661 0.3911
K 0.7339 0.1250 0.1089
K 0.8750 0.9839 0.6089
Hg 0.2500 0.7500 0.5000
Hg 0.5000 0.5000 0.0000
S 0.0000 0.0000 0.0000
S 0.7500 0.2500 0.5000


(2)
VASP calculation (GGA-PBE) on an optimized crystal structure of Sc3Si4Pd2.

Results
Final energy, eV/atom: -6.52
Raw formation energy, eV/f.u.: -7.640
Symmetry: C2/m (12)

Unit cell a=5.5205 b=5.5205 c=7.8334 alpha=108.05 beta=108.05 gamma=42.69
Atoms (fractional coordinates):
Sc 0.0000 0.0000 0.0000
Sc 0.3755 0.3755 0.3040
Sc 0.6245 0.6245 0.6960
Si 0.0742 0.0742 0.4087
Si 0.2828 0.2828 0.9373
Si 0.7172 0.7172 0.0627
Si 0.9258 0.9258 0.5913
Pd 0.3184 0.3184 0.6504
Pd 0.6816 0.6816 0.3496


(3)
VASP calculation (GGA-PBE) on an optimized crystal structure of BeHS.

Results
Final energy, eV/atom: -4.21
Symmetry: P1 (1)
Energy above the most stable polymorph in this dataset, meV per atom: 155.6

Unit cell a=3.4398 b=5.1999 c=5.9082 alpha=86.74 beta=89.17 gamma=89.03
Atoms (fractional coordinates):
Be 0.0000 0.0000 0.0000
Be 0.4927 0.0353 0.2477
H 0.4762 0.3403 0.3386
H 0.4893 0.2583 0.4526
S 0.4978 0.1766 0.9057
S 0.9961 0.8296 0.3151


(4)
VASP calculation (GGA-PBE) on an optimized crystal structure of K3Ce2BiSe6.

Results
Final energy, eV/atom: -4.72
Raw formation energy, eV/f.u.: -16.721
Symmetry: C2/m (12)

Unit cell a=7.5659 b=7.5659 c=8.0868 alpha=98.96 beta=98.96 gamma=120.00
Atoms (fractional coordinates):
K 0.0000 0.0000 0.0000
K 0.3353 0.6647 0.0000
K 0.6647 0.3353 0.0000
Ce 0.1668 0.8332 0.5000
Ce 0.8332 0.1668 0.5000
Bi 0.5000 0.5000 0.5000
Se 0.0964 0.4297 0.2892
Se 0.2366 0.2366 0.7101
Se 0.4297 0.0964 0.2892
Se 0.5703 0.9036 0.7108
Se 0.7634 0.7634 0.2899
Se 0.9036 0.5703 0.7108


(5)
VASP calculation (GGA-PBE) on an optimized crystal structure of Tc2BI.

Results
Final energy, eV/atom: -6.47
Raw formation energy, eV/f.u.: 3.092
Symmetry: I-42d (122)
Energy above the most stable polymorph in this dataset, meV per atom: 0.0

Unit cell a=7.4028 b=7.4028 c=7.4028 alpha=143.10 beta=143.10 gamma=53.17
Atoms (fractional coordinates):
Tc 0.0042 0.6250 0.8792
Tc 0.3750 0.2542 0.3792
Tc 0.7458 0.1250 0.1208
Tc 0.8750 0.9958 0.6208
B 0.0000 0.0000 0.0000
B 0.7500 0.2500 0.5000
I 0.2500 0.7500 0.5000
I 0.5000 0.5000 0.0000


(6)
VASP calculation (GGA-PBE) on an optimized crystal structure of YNbHg2Ge.

Results
Final energy, eV/atom: -3.01
ΔH_f (0 K), eV per atom: 1.34
Symmetry: P4/mmm (123)

Unit cell a=5.4535 b=5.4535 c=5.2494 alpha=90.00 beta=90.00 gamma=90.00
Atoms (fractional coordinates):
Y 0.0000 0.0000 0.0000
Nb 0.5000 0.5000 0.5000
Hg 0.0000 0.5000 0.0000
Hg 0.5000 0.0000 0.0000
Ge 0.0000 0.0000 0.5000


(7)
VASP calculation (GGA-PBE) on an optimized crystal structure of KAlCd2Pt.

Results
Final energy, eV/atom: -2.84
ΔH_f (0 K), eV per atom: -0.29
Symmetry: P4/mmm (123)

Unit cell a=5.3364 b=5.3364 c=4.8053 alpha=90.00 beta=90.00 gamma=90.00
Atoms (fractional coordinates):
K 0.0000 0.0000 0.0000
Al 0.5000 0.5000 0.0000
Cd 0.0000 0.5000 0.5000
Cd 0.5000 0.0000 0.5000
Pt 0.5000 0.5000 0.5000


(8)
VASP calculation (GGA-PBE) on an optimized crystal structure of CaSbAu.

Results
Final energy, eV/atom: -3.90
Raw formation energy, eV/f.u.: -2.286
Symmetry: R3m (160)

Unit cell a=9.0340 b=9.0340 c=9.0340 alpha=29.81 beta=29.81 gamma=29.81
Atoms (fractional coordinates):
Ca 0.0000 0.0000 0.0000
Ca 0.1596 0.1596 0.1596
Sb 0.4047 0.4047 0.4047
Sb 0.5802 0.5802 0.5802
Au 0.7565 0.7565 0.7565
Au 0.8858 0.8858 0.8858


(9)
VASP calculation (GGA-PBE) on an optimized crystal structure of Hf4BiOs.

Results
Final energy, eV/atom: -9.35
ΔH_f (0 K), eV per atom: -0.20
Symmetry: C2/c (15)

Unit cell a=7.3894 b=7.3894 c=5.6763 alpha=101.37 beta=101.37 gamma=112.42
Atoms (fractional coordinates):
Hf 0.0693 0.7113 0.9341
Hf 0.1901 0.3633 0.6473
Hf 0.2887 0.9307 0.5659
Hf 0.3633 0.1901 0.1473
Hf 0.6367 0.8099 0.8527
Hf 0.7113 0.0693 0.4341
Hf 0.8099 0.6367 0.3527
Hf 0.9307 0.2887 0.0659
Bi 0.3836 0.6164 0.2500
Bi 0.6164 0.3836 0.7500
Os 0.0032 0.9968 0.7500
Os 0.9968 0.0032 0.2500


(10)
VASP calculation (GGA-PBE) on an optimized crystal structure of ErThTe2Se.

Results
Final energy, eV/atom: -5.69
Raw formation energy, eV/f.u.: -6.678
Symmetry: P4/nmm (129)

Unit cell a=4.4358 b=4.4358 c=14.9057 alpha=90.00 beta=90.00 gamma=90.00
Atoms (fractional coordinates):
Er 0.2500 0.2500 0.0850
Er 0.7500 0.7500 0.9150
Th 0.2500 0.2500 0.6290
Th 0.7500 0.7500 0.3710
Te 0.2500 0.2500 0.2919
Te 0.2500 0.2500 0.8798
Te 0.7500 0.7500 0.1202
Te 0.7500 0.7500 0.7081
Se 0.2500 0.7500 0.5000
Se 0.7500 0.2500 0.5000


(11)
VASP calculation (GGA-PBE) on an optimized crystal structure of ZnInCl2.

Results
Final energy, eV/atom: -2.58
Raw formation energy, eV/f.u.: -2.619
Symmetry: Cm (8)
Energy above the most stable polymorph in this dataset, meV per atom: 28.5

Unit cell a=6.3358 b=6.3358 c=5.3614 alpha=112.41 beta=112.41 gamma=35.38
Atoms (fractional coordinates):
Zn 0.0000 0.0000 0.0000
In 0.5316 0.5316 0.6639
Cl 0.1550 0.1550 0.4442
Cl 0.3851 0.3851 0.1328


(12)
VASP calculation (GGA-PBE) on an optimized crystal structure of TaMnCu2.

Results
Final energy, eV/atom: -7.12
ΔH_f (0 K), eV per atom: 0.19
Symmetry: Amm2 (38)
Energy above the most stable polymorph in this dataset, meV per atom: 96.3

Unit cell a=4.0375 b=5.3209 c=5.3209 alpha=29.34 beta=90.00 gamma=90.00
Atoms (fractional coordinates):
Ta 0.0000 0.0000 0.0000
Mn 0.5000 0.3535 0.3535
Cu 0.0000 0.7457 0.7457
Cu 0.5000 0.6184 0.6184


Copy entry 6 word for word.
VASP calculation (GGA-PBE) on an optimized crystal structure of YNbHg2Ge.

Results
Final energy, eV/atom: -3.01
ΔH_f (0 K), eV per atom: 1.34
Symmetry: P4/mmm (123)

Unit cell a=5.4535 b=5.4535 c=5.2494 alpha=90.00 beta=90.00 gamma=90.00
Atoms (fractional coordinates):
Y 0.0000 0.0000 0.0000
Nb 0.5000 0.5000 0.5000
Hg 0.0000 0.5000 0.0000
Hg 0.5000 0.0000 0.0000
Ge 0.0000 0.0000 0.5000


> Which of these has the highest final energy?

K2HgS


What did the eighth record say?
VASP calculation (GGA-PBE) on an optimized crystal structure of CaSbAu.

Results
Final energy, eV/atom: -3.90
Raw formation energy, eV/f.u.: -2.286
Symmetry: R3m (160)

Unit cell a=9.0340 b=9.0340 c=9.0340 alpha=29.81 beta=29.81 gamma=29.81
Atoms (fractional coordinates):
Ca 0.0000 0.0000 0.0000
Ca 0.1596 0.1596 0.1596
Sb 0.4047 0.4047 0.4047
Sb 0.5802 0.5802 0.5802
Au 0.7565 0.7565 0.7565
Au 0.8858 0.8858 0.8858


> What is the final energy in the first record?

-2.19 eV/atom